Record 1
A relaxed structure of Tb2YGa3Pt4. Source: the Alexandria database, functional GGA-PBE.

The structure belongs to space group P-4m2 (No. 115); the cell edges are 4.164, 4.164 and 11.614 Å and the angles 90.00°, 90.00° and 90.00°. The asymmetric unit holds Tb at (0.000, 0.500, 0.227), Y at (0.000, 0.000, 0.500), Ga at (0.000, 0.500, 0.873), Ga at (0.500, 0.500, 0.500), Pt at (0.000, 0.000, 0.000), Pt at (0.000, 0.500, 0.661) and Pt at (0.500, 0.500, 0.000).

For the density of states at the Fermi level, the calculation gives 6.07 states/eV/cell. The calculation puts the formation energy at -0.96 eV/atom.

***

Record 2
A relaxed structure of Tb2ZnGa3Pt4. Source: the Alexandria database, functional GGA-PBE.

The structure belongs to space group P-4m2 (No. 115); the cell edges are 4.083, 4.083 and 11.197 Å and the angles 90.00°, 90.00° and 90.00°. The asymmetric unit holds Tb at (0.000, 0.500, 0.247), Zn at (0.500, 0.500, 0.000), Ga at (0.000, 0.000, 0.000), Ga at (0.000, 0.500, 0.634), Pt at (0.000, 0.000, 0.500), Pt at (0.000, 0.500, 0.855) and Pt at (0.500, 0.500, 0.500).

For the density of states at the Fermi level, the calculation gives 7.28 states/eV/cell. The calculation puts the formation energy at -0.92 eV/atom.